[1]
Below is a relaxed structure of MnCd6Au12, with properties calculated at the PBE level.

Formation enthalpy at 0 K ... -0.09 eV/atom
Electronic total energy ... -55.66 eV per cell
Magnetization ... 3.98 μB/f.u.
N(E_F) ... 7.83 states/eV/cell

a b c (Å): 7.1762 7.1762 7.1762
angles (deg): 92.68 92.68 92.68
Atoms (fractional coordinates):
Mn: 0.0000 0.0000 0.0000
Cd: 0.1158 0.7327 0.2888
Cd: 0.2673 0.7112 0.8842
Cd: 0.2888 0.1158 0.7327
Cd: 0.7112 0.8842 0.2673
Cd: 0.7327 0.2888 0.1158
Cd: 0.8842 0.2673 0.7112
Au: 0.0454 0.1334 0.3612
Au: 0.1334 0.3612 0.0454
Au: 0.2074 0.4597 0.5476
Au: 0.3612 0.0454 0.1334
Au: 0.4524 0.7926 0.5403
Au: 0.4597 0.5476 0.2074
Au: 0.5403 0.4524 0.7926
Au: 0.5476 0.2074 0.4597
Au: 0.6388 0.9546 0.8666
Au: 0.7926 0.5403 0.4524
Au: 0.8666 0.6388 0.9546
Au: 0.9546 0.8666 0.6388


[2]
Below is a relaxed structure of MnCd2Au, with properties calculated at the PBE level.

Formation enthalpy at 0 K ... 0.27 eV/atom
Electronic total energy ... -26.36 eV per cell
ΔE to the lowest computed polymorph ... 260.0 meV per atom
Magnetization ... 4.06 μB/f.u.
N(E_F) ... 5.28 states/eV/cell

a b c (Å): 6.1432 6.1432 6.1432
angles (deg): 102.03 102.03 125.68
Atoms (fractional coordinates):
Mn: 0.0000 0.0000 0.0000
Mn: 0.7500 0.2500 0.5000
Cd: 0.1274 0.1250 0.5024
Cd: 0.3750 0.8726 0.9976
Cd: 0.6226 0.6250 0.4976
Cd: 0.8750 0.3774 0.0024
Au: 0.2500 0.7500 0.5000
Au: 0.5000 0.5000 0.0000


[3]
Below is a relaxed structure of MnCdAu6, with properties calculated at the PBE level.

Formation enthalpy at 0 K ... -0.08 eV/atom
Electronic total energy ... -30.37 eV per cell
Magnetization ... 4.36 μB/f.u.
N(E_F) ... 3.13 states/eV/cell

a b c (Å): 4.1682 4.1682 8.3020
angles (deg): 90.00 90.00 90.00
Atoms (fractional coordinates):
Mn: 0.0000 0.0000 0.0000
Cd: 0.0000 0.0000 0.5000
Au: 0.0000 0.5000 0.2409
Au: 0.0000 0.5000 0.7591
Au: 0.5000 0.0000 0.2409
Au: 0.5000 0.0000 0.7591
Au: 0.5000 0.5000 0.0000
Au: 0.5000 0.5000 0.5000


[4]
Below is a relaxed structure of MnCdAu14, with properties calculated at the PBE level.

Formation enthalpy at 0 K ... -0.04 eV/atom
Electronic total energy ... -56.59 eV per cell
Magnetization ... 4.87 μB/f.u.
N(E_F) ... 3.15 states/eV/cell

a b c (Å): 6.1338 6.1338 7.6881
angles (deg): 90.00 90.00 90.00
Atoms (fractional coordinates):
Mn: 0.0000 0.0000 0.0000
Cd: 0.5000 0.5000 0.0000
Au: 0.0000 0.0000 0.5000
Au: 0.0000 0.5000 0.0000
Au: 0.0000 0.5000 0.5000
Au: 0.2458 0.2458 0.2474
Au: 0.2458 0.2458 0.7526
Au: 0.2458 0.7542 0.2474
Au: 0.2458 0.7542 0.7526
Au: 0.5000 0.0000 0.0000
Au: 0.5000 0.0000 0.5000
Au: 0.5000 0.5000 0.5000
Au: 0.7542 0.2458 0.2474
Au: 0.7542 0.2458 0.7526
Au: 0.7542 0.7542 0.2474
Au: 0.7542 0.7542 0.7526